# La3Pm2Nd3, relaxed, DFT GGA-PBE
data_La3Pm2Nd3
_chemical_formula_sum 'La6 Pm4 Nd6'
_cell_length_a 9.9402
_cell_length_b 9.9402
_cell_length_c 6.8124
_cell_angle_alpha 90.00
_cell_angle_beta 90.00
_cell_angle_gamma 120.00
_space_group_name_H-M_alt 'P 63/m c m'
_space_group_IT_number 193
_space_group_name_Hall '-P 6c 2'
loop_
_atom_site_label
_atom_site_fract_x
_atom_site_fract_y
_atom_site_fract_z
La1 0.0000 0.2354 0.2500
Pm1 0.3333 0.6667 0.0000
Nd1 0.0000 0.4041 0.7500
# Energy relative to the lowest polymorph listed for this composition (kJ/mol of formula units): 109
# DFT total energy (eV per atom): -4.67
# Energy of formation (eV/atom): 0.15
# D(E_F) (states/eV/f.u.): 15.21